# 1
Below is a relaxed structure of PrGeH2O4, with properties calculated at the PBE level.

## Properties
- Total magnetic moment: 0.5 μB per formula unit
- Energy above the most stable polymorph in this dataset: 1.0 kJ/mol of atoms
- Crystal system: monoclinic

Structure (POSCAR):
```
PrGeH2O4
1.0
5.133 0.000 0.000
0.000 6.098 0.000
-2.845 0.000 11.991
Pr Ge H O
4 4 8 16
Cartesian
-0.608 0.629 4.306
-2.031 2.420 10.302
4.319 3.678 1.690
2.897 5.468 7.685
1.082 0.814 1.289
-0.340 2.235 7.285
2.629 3.863 4.706
1.207 5.284 10.702
0.417 4.478 5.861
-1.005 4.668 11.857
0.388 3.877 8.916
1.810 5.269 2.920
0.478 0.828 9.071
1.900 2.220 3.076
3.294 1.429 0.134
1.872 1.620 6.130
-2.539 4.504 11.586
-1.117 4.642 5.590
-1.026 3.657 8.486
0.396 5.490 2.491
-0.492 0.949 8.722
0.930 2.099 2.726
0.886 1.429 5.962
-0.536 1.620 11.958
2.825 4.478 0.033
1.402 4.669 6.029
1.358 3.998 9.265
2.781 5.148 3.269
1.893 0.608 9.500
3.315 2.441 3.505
3.405 1.455 6.401
4.828 1.594 0.405
```


# 2
Below is a relaxed structure of HfSn2Bi, with properties calculated at the PBE level.

## Properties
- Total magnetic moment: 0.0 μB per formula unit
- Crystal system: cubic
- Final energy: -5.26 eV per atom

Structure (POSCAR):
```
HfSn2Bi
1.0
0.000 3.741 3.741
3.741 0.000 3.741
3.741 3.741 0.000
Hf Sn Bi
1 2 1
Cartesian
0.000 0.000 0.000
1.870 1.870 1.870
3.741 3.741 3.741
5.611 5.611 5.611
```


# 3
Below is a relaxed structure of CsAcCu, with properties calculated at the PBE level.

## Properties
- Total magnetic moment: 0.0 μB per formula unit
- Energy above the most stable polymorph in this dataset: 0.0 kJ/mol of atoms
- Crystal system: cubic

Structure (POSCAR):
```
CsAcCu
1.0
0.000 3.901 3.901
3.901 0.000 3.901
3.901 3.901 0.000
Cs Ac Cu
1 1 1
Cartesian
0.000 0.000 0.000
3.901 3.901 3.901
5.852 5.852 5.852
```


# 4
Below is a relaxed structure of LuSiIr, with properties calculated at the PBE level.

## Properties
- Total magnetic moment: 0.0 μB per formula unit
- Crystal system: hexagonal
- Final energy: -7.25 eV per atom

Structure (POSCAR):
```
LuSiIr
1.0
6.819 0.000 0.000
-3.410 5.906 0.000
0.000 0.000 3.921
Lu Si Ir
3 3 3
Cartesian
-2.002 3.467 0.000
1.408 2.439 0.000
4.003 0.000 0.000
-0.836 1.449 1.961
1.673 0.000 1.961
2.573 4.457 1.961
0.000 0.000 0.000
0.000 3.937 1.961
3.410 1.969 1.961
```


# 5
Below is a relaxed structure of YCoAsW, with properties calculated at the PBE level.

## Properties
- Total magnetic moment: 3.1 μB per formula unit
- Energy above the most stable polymorph in this dataset: 13.3 kJ/mol of atoms
- Crystal system: cubic

Structure (POSCAR):
```
YCoAsW
1.0
0.000 3.261 3.261
3.261 0.000 3.261
3.261 3.261 0.000
Y Co As W
1 1 1 1
Cartesian
0.000 0.000 0.000
3.261 3.261 3.261
1.631 1.631 1.631
4.892 4.892 4.892
```


# 6
Below is a relaxed structure of HfAsPO, with properties calculated at the PBE level.

## Properties
- Total magnetic moment: 0.0 μB per formula unit
- Energy above the most stable polymorph in this dataset: 5.8 kJ/mol of atoms
- Crystal system: orthorhombic

Structure (POSCAR):
```
HfAsPO
1.0
3.901 0.000 0.000
0.000 5.548 0.000
0.000 0.000 7.307
Hf As P O
2 2 2 2
Cartesian
0.000 0.218 0.000
0.000 5.330 3.653
1.950 1.705 4.261
1.950 3.842 0.608
1.950 1.889 6.643
1.950 3.659 2.990
0.000 0.724 1.896
0.000 4.824 5.549
```


# 7
Below is a relaxed structure of DyThCu, with properties calculated at the PBE level.

## Properties
- Total magnetic moment: 0.1 μB per formula unit
- Energy above the most stable polymorph in this dataset: 0.0 kJ/mol of atoms
- Crystal system: cubic
- ΔH_f (0 K): 179 meV/atom

Structure (POSCAR):
```
DyThCu
1.0
0.000 3.418 3.418
3.418 0.000 3.418
3.418 3.418 0.000
Dy Th Cu
1 1 1
Cartesian
0.000 0.000 0.000
3.418 3.418 3.418
1.709 1.709 1.709
```


# 8
Below is a relaxed structure of InNiAuSe2S, with properties calculated at the PBE level.

## Properties
- Total magnetic moment: 0.0 μB per formula unit
- Crystal system: orthorhombic
- Final energy: -3.99 eV per atom

Structure (POSCAR):
```
InNiAuSe2S
1.0
1.825 -6.519 0.000
1.825 6.519 0.000
0.000 0.000 10.419
In Ni Au Se S
2 2 2 4 2
Cartesian
1.825 4.313 7.814
1.825 -4.313 2.605
1.825 0.000 0.000
1.825 0.000 5.209
1.825 4.373 2.605
1.825 -4.373 7.814
1.825 4.968 0.153
1.825 4.968 5.056
1.825 -4.968 5.362
1.825 -4.968 10.266
1.825 0.355 2.605
1.825 -0.355 7.814
```


# 9
Below is a relaxed structure of CoH6Pd2, with properties calculated at the PBE level.

## Properties
- Total magnetic moment: 0.0 μB per formula unit
- Crystal system: cubic
- Final energy: -3.98 eV per atom

Structure (POSCAR):
```
CoH6Pd2
1.0
0.000 3.117 3.117
3.117 0.000 3.117
3.117 3.117 0.000
Co H Pd
1 6 2
Cartesian
0.000 0.000 0.000
3.117 3.117 1.584
3.117 1.584 3.117
4.650 3.117 3.117
1.584 3.117 3.117
3.117 4.650 3.117
3.117 3.117 4.650
1.559 1.559 1.559
4.676 4.676 4.676
```


# 10
Below is a relaxed structure of ScCuSbAu, with properties calculated at the PBE level.

## Properties
- Total magnetic moment: 0.0 μB per formula unit
- Energy above the most stable polymorph in this dataset: 0.0 kJ/mol of atoms
- Crystal system: cubic

Structure (POSCAR):
```
ScCuSbAu
1.0
0.000 3.365 3.365
3.365 0.000 3.365
3.365 3.365 0.000
Sc Cu Sb Au
1 1 1 1
Cartesian
0.000 0.000 0.000
3.365 3.365 3.365
1.683 1.683 1.683
5.048 5.048 5.048
```


# 11
Below is a relaxed structure of TaGaNiPd, with properties calculated at the PBE level.

## Properties
- Total magnetic moment: 0.0 μB per formula unit
- Energy above the most stable polymorph in this dataset: 12.3 kJ/mol of atoms
- Crystal system: cubic

Structure (POSCAR):
```
TaGaNiPd
1.0
0.000 3.089 3.089
3.089 0.000 3.089
3.089 3.089 0.000
Ta Ga Ni Pd
1 1 1 1
Cartesian
0.000 0.000 0.000
1.545 1.545 1.545
3.089 3.089 3.089
4.634 4.634 4.634
```


# 12
Below is a relaxed structure of KPrGaSe3, with properties calculated at the PBE level.

## Properties
- Total magnetic moment: 0.0 μB per formula unit
- Energy above the most stable polymorph in this dataset: 1.9 kJ/mol of atoms
- Crystal system: orthorhombic

Structure (POSCAR):
```
KPrGaSe3
1.0
2.314 -7.097 0.000
2.314 7.097 0.000
0.000 0.000 11.428
K Pr Ga Se
2 2 2 6
Cartesian
2.314 3.569 8.571
2.314 -3.569 2.857
2.314 0.000 0.000
2.314 0.000 5.714
2.314 6.861 2.857
2.314 -6.861 8.571
2.314 5.292 0.845
2.314 5.292 4.869
2.314 0.921 2.857
2.314 -0.921 8.571
2.314 -5.292 6.559
2.314 -5.292 10.583
```


# 13
Below is a relaxed structure of NaPuTlTe3, with properties calculated at the PBE level.

## Properties
- Total magnetic moment: 0.1 μB per formula unit
- Crystal system: orthorhombic
- Final energy: -4.90 eV per atom

Structure (POSCAR):
```
NaPuTlTe3
1.0
2.255 -7.694 0.000
2.255 7.694 0.000
0.000 0.000 12.502
Na Pu Tl Te
2 2 2 6
Cartesian
2.255 6.098 9.377
2.255 -6.098 3.126
2.255 0.000 0.000
2.255 0.000 6.251
2.255 4.853 3.126
2.255 -4.853 9.377
2.255 5.642 6.428
2.255 5.642 12.325
2.255 0.541 9.377
2.255 -0.541 3.126
2.255 -5.642 0.177
2.255 -5.642 6.074
```


# 14
Below is a relaxed structure of RbAgS, with properties calculated at the PBE level.

## Properties
- Crystal system: tetragonal
- Final energy: -3.33 eV per atom

Structure (POSCAR):
```
RbAgS
1.0
-5.799 5.799 3.328
5.799 -5.799 3.328
5.799 5.799 -3.328
Rb Ag S
4 4 4
Cartesian
3.547 0.000 0.000
8.051 0.000 0.000
0.000 3.547 0.000
0.000 8.051 0.000
4.174 4.174 0.000
1.625 -1.625 3.328
-1.625 1.625 3.328
1.625 1.625 3.328
5.799 2.454 0.000
2.454 5.799 0.000
3.345 0.000 3.328
0.000 3.345 3.328
```


# 15
Below is a relaxed structure of ZrSi2W2, with properties calculated at the PBE level.

## Properties
- Total magnetic moment: 0.0 μB per formula unit
- Crystal system: tetragonal
- Final energy: -9.31 eV per atom

Structure (POSCAR):
```
ZrSi2W2
1.0
-1.944 1.944 5.543
1.944 -1.944 5.543
1.944 1.944 -5.543
Zr Si W
1 2 2
Cartesian
0.000 0.000 0.000
0.000 0.000 4.401
0.000 0.000 6.685
1.944 0.000 2.772
0.000 1.944 2.772
```


# 16
Below is a relaxed structure of Li4NbPbO6, with properties calculated at the PBE level.

## Properties
- Total magnetic moment: 0.9 μB per formula unit
- Crystal system: monoclinic
- Final energy: -6.14 eV per atom

Structure (POSCAR):
```
Li4NbPbO6
1.0
2.712 -4.749 0.000
2.712 4.749 0.000
-1.768 0.000 4.867
Li Nb Pb O
4 1 1 6
Cartesian
0.000 0.000 0.000
1.828 3.282 2.434
1.828 -0.117 2.434
1.828 -3.435 2.434
2.712 -1.566 0.000
2.712 1.596 0.000
0.745 1.756 1.214
0.081 -0.133 3.644
1.050 -1.439 1.121
2.911 1.756 3.653
3.575 -0.133 1.223
2.607 -1.439 3.746
```


# 17
Below is a relaxed structure of TaInCuPt, with properties calculated at the PBE level.

## Properties
- Total magnetic moment: 0.0 μB per formula unit
- Energy above the most stable polymorph in this dataset: 0.0 kJ/mol of atoms
- Crystal system: cubic

Structure (POSCAR):
```
TaInCuPt
1.0
0.000 3.217 3.217
3.217 0.000 3.217
3.217 3.217 0.000
Ta In Cu Pt
1 1 1 1
Cartesian
0.000 0.000 0.000
3.217 3.217 3.217
4.826 4.826 4.826
1.609 1.609 1.609
```


# 18
Below is a relaxed structure of Na2TaNbAl2Ir2, with properties calculated at the PBE level.

## Properties
- Total magnetic moment: 0.0 μB per formula unit
- Crystal system: tetragonal
- Final energy: -6.42 eV per atom

Structure (POSCAR):
```
Na2TaNbAl2Ir2
1.0
4.478 0.000 0.000
0.000 4.478 0.000
0.000 0.000 6.334
Na Ta Nb Al Ir
2 1 1 2 2
Cartesian
0.000 2.239 1.576
2.239 0.000 4.759
0.000 0.000 3.167
2.239 2.239 0.000
0.000 0.000 0.000
2.239 2.239 3.167
0.000 2.239 4.738
2.239 0.000 1.597
```


# 19
Below is a relaxed structure of Ni3Mo3C, with properties calculated at the PBE level.

## Properties
- Total magnetic moment: 0.0 μB per formula unit
- Crystal system: cubic
- Final energy: -8.41 eV per atom

Structure (POSCAR):
```
Ni3Mo3C
1.0
0.000 5.538 5.538
5.538 0.000 5.538
5.538 5.538 0.000
Ni Mo C
12 12 4
Cartesian
0.000 0.000 0.000
2.769 2.769 0.000
2.769 0.000 2.769
8.767 5.079 5.079
2.310 2.310 2.310
5.998 5.998 2.310
5.998 2.310 5.998
0.000 2.769 2.769
5.079 8.767 5.079
5.079 5.079 8.767
8.767 8.767 8.767
2.310 5.998 5.998
4.154 4.154 1.908
4.154 1.908 4.154
6.399 4.154 4.154
6.923 6.923 4.677
6.923 4.677 6.923
9.168 6.923 6.923
1.908 4.154 4.154
4.154 6.399 4.154
4.154 4.154 6.399
4.677 6.923 6.923
6.923 9.168 6.923
6.923 6.923 9.168
5.538 2.769 2.769
2.769 5.538 2.769
2.769 2.769 5.538
5.538 5.538 5.538
```


# 20
Below is a relaxed structure of BeAlAg, with properties calculated at the PBE level.

## Properties
- Energy above the most stable polymorph in this dataset: 0.0 kJ/mol of atoms
- Crystal system: cubic

Structure (POSCAR):
```
BeAlAg
1.0
0.000 2.837 2.837
2.837 0.000 2.837
2.837 2.837 0.000
Be Al Ag
1 1 1
Cartesian
0.000 0.000 0.000
1.418 1.418 1.418
4.255 4.255 4.255
```


# 21
Below is a relaxed structure of BaFe2Ir, with properties calculated at the PBE level.

## Properties
- Total magnetic moment: 5.8 μB per formula unit
- Crystal system: cubic
- Final energy: -5.90 eV per atom

Structure (POSCAR):
```
BaFe2Ir
1.0
0.000 3.346 3.346
3.346 0.000 3.346
3.346 3.346 0.000
Ba Fe Ir
1 2 1
Cartesian
0.000 0.000 0.000
3.346 3.346 3.346
5.019 5.019 5.019
1.673 1.673 1.673
```


# 22
Below is a relaxed structure of Gd2DyCo2B2As3, with properties calculated at the PBE level.

## Properties
- Total magnetic moment: 0.0 μB per formula unit
- Crystal system: tetragonal
- Final energy: -6.31 eV per atom

Structure (POSCAR):
```
Gd2DyCo2B2As3
1.0
-1.972 1.972 11.324
1.972 -1.972 11.324
1.972 1.972 -11.324
Gd Dy Co B As
2 1 2 2 3
Cartesian
0.000 0.000 3.261
0.000 0.000 19.387
0.000 0.000 11.324
1.972 0.000 5.662
0.000 1.972 5.662
0.000 0.000 6.385
0.000 0.000 16.262
0.000 0.000 0.000
0.000 0.000 8.503
0.000 0.000 14.144
```


# 23
Below is a relaxed structure of ScFeHgB, with properties calculated at the PBE level.

## Properties
- Total magnetic moment: 1.8 μB per formula unit
- Energy above the most stable polymorph in this dataset: 23.5 kJ/mol of atoms
- Crystal system: cubic

Structure (POSCAR):
```
ScFeHgB
1.0
0.000 3.100 3.100
3.100 0.000 3.100
3.100 3.100 0.000
Sc Fe Hg B
1 1 1 1
Cartesian
0.000 0.000 0.000
4.650 4.650 4.650
1.550 1.550 1.550
3.100 3.100 3.100
```


# 24
Below is a relaxed structure of Hg2BAu, with properties calculated at the PBE level.

## Properties
- Crystal system: cubic
- Final energy: -1.59 eV per atom

Structure (POSCAR):
```
Hg2BAu
1.0
0.000 3.361 3.361
3.361 0.000 3.361
3.361 3.361 0.000
Hg B Au
2 1 1
Cartesian
0.000 0.000 0.000
1.680 1.680 1.680
3.361 3.361 3.361
5.041 5.041 5.041
```